1.
A plane-wave DFT calculation with PBE was carried out for a relaxed Sr8Pd5Au crystal.

Summary:
Energy of formation ... -548.7 meV per atom
Total magnetization ... 0.00 μB per cell
D(E_F) ... 5.560 states/eV per cell

Lattice parameters (Å, degrees): 8.2117 8.2117 8.2117 109.30 109.30 109.81
Closest atoms and distances in Å follow each position.
Positions (direct):
1 Sr 0.0019 0.6246 0.7510  3 Pd 3.08-3.11
2 Sr 0.2442 0.4914 0.1129  3 Pd 3.08-3.45, 1 Au 3.16
3 Sr 0.3754 0.1264 0.3773  3 Pd 3.08-3.11
4 Sr 0.3785 0.1313 0.8871  3 Pd 3.08-3.45, 1 Au 3.16
5 Sr 0.5086 0.6215 0.7528  3 Pd 3.08-3.45, 1 Au 3.16
6 Sr 0.7491 0.9981 0.6227  3 Pd 3.08-3.11
7 Sr 0.8687 0.7558 0.2472  3 Pd 3.08-3.45, 1 Au 3.16
8 Sr 0.8736 0.2509 0.2490  3 Pd 3.08-3.11
9 Pd 0.0000 0.0000 0.0000  8 Sr 3.09-3.46
10 Pd 0.1265 0.2482 0.6239  5 Sr 3.08-3.45
11 Pd 0.4974 0.8735 0.1217  5 Sr 3.08-3.45
12 Pd 0.6242 0.5026 0.3761  5 Sr 3.08-3.45
13 Pd 0.7518 0.3758 0.8783  5 Sr 3.08-3.45
14 Au 0.2500 0.7500 0.5000  8 Sr 3.16-3.50

=====

2.
A plane-wave DFT calculation with PBE was carried out for a relaxed Tm5Ga2Sn2 crystal.

Summary:
Energy of formation ... -621.1 meV per atom
Total magnetization ... 0.00 μB per cell
D(E_F) ... 11.167 states/eV per cell

Lattice parameters (Å, degrees): 8.5882 8.5882 7.7240 90.00 90.00 54.45
Closest atoms and distances in Å follow each position.
Positions (direct):
1 Tm 0.0000 0.0000 0.0000  4 Ga 3.07-3.12, 2 Sn 3.22
2 Tm 0.0446 0.6913 0.6742  3 Ga 3.01-3.12, 3 Sn 3.08-3.12
3 Tm 0.1913 0.5446 0.1742  3 Ga 3.01-3.12, 3 Sn 3.08-3.12
4 Tm 0.3087 0.9554 0.6742  3 Ga 3.01-3.12, 3 Sn 3.08-3.12
5 Tm 0.4554 0.8087 0.1742  3 Ga 3.01-3.12, 3 Sn 3.08-3.12
6 Tm 0.5000 0.5000 0.5000  4 Ga 3.07-3.12, 2 Sn 3.22
7 Tm 0.5446 0.1913 0.8258  3 Ga 3.01-3.12, 3 Sn 3.08-3.12
8 Tm 0.6913 0.0446 0.3258  3 Ga 3.01-3.12, 3 Sn 3.08-3.12
9 Tm 0.8087 0.4554 0.8258  3 Ga 3.01-3.12, 3 Sn 3.08-3.12
10 Tm 0.9554 0.3087 0.3258  3 Ga 3.01-3.12, 3 Sn 3.08-3.12
11 Ga 0.1211 0.8789 0.3783  1 Ga 2.67
12 Ga 0.3789 0.6211 0.8783  1 Ga 2.67
13 Ga 0.6211 0.3789 0.1217  1 Ga 2.67
14 Ga 0.8789 0.1211 0.6217  1 Ga 2.67
15 Sn 0.2111 0.2111 0.0000  7 Tm 3.08-3.22
16 Sn 0.2889 0.2889 0.5000  7 Tm 3.08-3.22
17 Sn 0.7111 0.7111 0.5000  7 Tm 3.08-3.22
18 Sn 0.7889 0.7889 0.0000  7 Tm 3.08-3.22

=====

- Look up the total magnetization of the second one.
  0.00 μB per cell

=====

- total magnetization of number 2 (Tm5Ga2Sn2)?
  0.00 μB per cell

=====

- Number 2 is which compound?
  Tm5Ga2Sn2